A geometry-optimized Dy2Be3NiGe4 structure. Source: Alexandria via LeMat-Bulk, functional PBE-GGA.

a = 4.0045 Å, b = 4.0045 Å, c = 9.7550 Å
α = 90.00°, β = 90.00°, γ = 90.00°
Closest atoms and distances in Å follow each position.
Space group P-4m2 (No. 115)
Symmetry-distinct sites (fractional):
Dy 0.0000 0.5000 0.2430  8 Ge 3.03-3.21, 6 Be 3.07-3.10, 2 Ni 3.10
Be 0.0000 0.0000 0.0000  4 Ge 2.39
Be 0.0000 0.5000 0.6350  5 Ge 2.25-2.40
Ni 0.5000 0.5000 0.0000  4 Ge 2.39
Ge 0.0000 0.0000 0.5000  4 Be 2.40
Ge 0.0000 0.5000 0.8661  3 Be 2.25-2.39, 2 Ni 2.39
Ge 0.5000 0.5000 0.5000  4 Be 2.40

Computed properties:
final energy	-4.91	eV/atom